*a*
Below is Ba4Pt5 after structural relaxation, with properties calculated at the PBE-GGA level.

abc: 10.6662 10.6662 4.6375
angles: 90.00 90.00 90.00
Closest atoms and distances in Å follow each position.
Space group I4/mmm (No. 139)
Asymmetric unit:
1 Ba 0.0000 0.2825 0.0000 x8  5 Pt 3.01-3.15
2 Pt 0.0000 0.0000 0.0000 x2  4 Ba 3.01, 8 Pt 3.08
3 Pt 0.1344 0.1344 0.5000 x8  4 Pt 2.87-3.08, 4 Ba 3.15

## Properties
DOS at the Fermi energy (states/eV per cell): 11.64

---

*b*
Below is Ba4Pt5 after structural relaxation, with properties calculated at the PBE-GGA level.

abc: 9.5204 9.5204 6.4030
angles: 90.00 90.00 120.00
Closest atoms and distances in Å follow each position.
Space group P6_3/mcm (No. 193)
Asymmetric unit:
1 Ba 0.0000 0.0000 0.0000 x2  6 Pt 3.17, 2 Ba 3.20
2 Ba 0.0000 0.3804 0.2500 x6  9 Pt 3.16-3.38
3 Pt 0.0000 0.2880 0.7500 x6  7 Ba 3.16-3.32
4 Pt 0.3333 0.6667 0.0000 x4  2 Pt 3.20, 6 Ba 3.38

## Properties
DOS at the Fermi energy (states/eV per cell): 17.26

---

Stability, lowest: *a*

---

*a*
Below is BaPt4 after structural relaxation, with properties calculated at the PBE-GGA level.

abc: 6.3494 6.3494 6.3494
angles: 90.00 90.00 90.00
Closest atoms and distances in Å follow each position.
Space group Im-3m (No. 229)
Asymmetric unit:
1 Ba 0.0000 0.0000 0.0000 x2  8 Pt 2.75
2 Pt 0.2500 0.2500 0.2500 x8  2 Ba 2.75

## Properties
DOS at the Fermi energy (states/eV per cell): 12.92

---

*b*
Below is BaPt4 after structural relaxation, with properties calculated at the PBE-GGA level.

abc: 5.2492 5.2492 5.2492
angles: 90.00 90.00 90.00
Closest atoms and distances in Å follow each position.
Space group Pm-3m (No. 221)
Asymmetric unit:
1 Ba 0.0000 0.0000 0.0000 x1  6 Pt 2.62
2 Pt 0.0000 0.0000 0.5000 x3  2 Ba 2.62
3 Pt 0.5000 0.5000 0.5000 x1  12 Pt 3.71

## Properties
DOS at the Fermi energy (states/eV per cell): 2.29

---

*c*
Below is BaPt4 after structural relaxation, with properties calculated at the PBE-GGA level.

abc: 4.6041 4.6041 10.4196
angles: 90.00 90.00 90.00
Closest atoms and distances in Å follow each position.
Space group I4/mmm (No. 139)
Asymmetric unit:
1 Ba 0.0000 0.0000 0.0000 x2  16 Pt 3.48-3.49
2 Pt 0.0000 0.0000 0.3786 x4  5 Pt 2.53-2.66
3 Pt 0.0000 0.5000 0.2500 x4  4 Pt 2.66

## Properties
DOS at the Fermi energy (states/eV per cell): 11.96

---

Stability, lowest: *b*

---

*a*
Below is RbBa2Pt after structural relaxation, with properties calculated at the PBE-GGA level.

abc: 10.6935 10.6935 7.5163
angles: 90.00 90.00 90.00
Closest atoms and distances in Å follow each position.
Space group I-42d (No. 122)
Asymmetric unit:
1 Rb 0.0000 0.0000 0.0000 x4  2 Pt 3.76, 4 Ba 4.09
2 Ba 0.1189 0.7500 0.6250 x8  2 Pt 3.11
3 Pt 0.0000 0.0000 0.5000 x4  4 Ba 3.11

## Properties
DOS at the Fermi energy (states/eV per cell): 17.90

---

*b*
Below is RbBa2Pt after structural relaxation, with properties calculated at the PBE-GGA level.

abc: 8.4241 8.4241 8.4241
angles: 90.00 90.00 90.00
Closest atoms and distances in Å follow each position.
Space group Fm-3m (No. 225)
Asymmetric unit:
1 Rb 0.0000 0.0000 0.0000 x4  8 Ba 3.65
2 Ba 0.2500 0.2500 0.2500 x8  4 Rb 3.65, 4 Pt 3.65
3 Pt 0.0000 0.0000 0.5000 x4  8 Ba 3.65

## Properties
DOS at the Fermi energy (states/eV per cell): 28.56

---

Stability, lowest: *b*

---

*a*
Below is RbBa2Pt after structural relaxation, with properties calculated at the PBE-GGA level.

abc: 4.6835 4.6835 34.9724
angles: 90.00 90.00 120.00
Closest atoms and distances in Å follow each position.
Space group R3m (No. 160, hexagonal axes)
Asymmetric unit:
1 Rb 0.0000 0.0000 0.0000 x3  6 Rb 4.68, 6 Ba 4.95-5.00
2 Ba 0.0000 0.0000 0.2147 x3  3 Pt 3.17
3 Ba 0.0000 0.0000 0.4534 x3  3 Pt 3.17
4 Pt 0.0000 0.0000 0.8342 x3  6 Ba 3.17

## Properties
DOS at the Fermi energy (states/eV per cell): 9.89

---

*b*
Below is RbBa2Pt after structural relaxation, with properties calculated at the PBE-GGA level.

abc: 4.6391 4.6391 37.3765
angles: 90.00 90.00 120.00
Closest atoms and distances in Å follow each position.
Space group R-3m (No. 166, hexagonal axes)
Asymmetric unit:
1 Rb 0.0000 0.0000 0.0000 x3  2 Ba 4.55, 6 Rb 4.64
2 Ba 0.0000 0.0000 0.1218 x6  3 Pt 3.16
3 Pt 0.0000 0.0000 0.5000 x3  6 Ba 3.16

## Properties
DOS at the Fermi energy (states/eV per cell): 9.52

---

Stability, lowest: *b*

---

*a*
Below is RbBa2Pt2 after structural relaxation, with properties calculated at the PBE-GGA level.

abc: 9.0271 9.0271 4.1295
angles: 90.00 90.00 90.00
Closest atoms and distances in Å follow each position.
Space group P4/mbm (No. 127)
Asymmetric unit:
1 Rb 0.0000 0.0000 0.0000 x2  4 Pt 3.47
2 Ba 0.1476 0.3524 0.5000 x4  6 Pt 3.33-3.38
3 Pt 0.1424 0.6424 0.0000 x4  6 Ba 3.33-3.38, 2 Rb 3.47, 1 Pt 3.64

## Properties
DOS at the Fermi energy (states/eV per cell): 4.87

---

*b*
Below is RbBa2Pt2 after structural relaxation, with properties calculated at the PBE-GGA level.

abc: 5.5205 5.5205 12.0600
angles: 90.00 90.00 90.00
Closest atoms and distances in Å follow each position.
Space group I4/mmm (No. 139)
Asymmetric unit:
1 Rb 0.0000 0.0000 0.0000 x2  8 Ba 4.09, 8 Pt 4.13
2 Ba 0.0000 0.5000 0.2500 x4  4 Pt 3.22
3 Pt 0.0000 0.0000 0.3878 x4  1 Pt 2.71

## Properties
DOS at the Fermi energy (states/eV per cell): 8.29

---

*c*
Below is RbBa2Pt2 after structural relaxation, with properties calculated at the PBE-GGA level.

abc: 5.8417 5.8417 12.7215
angles: 90.00 90.00 90.00
Closest atoms and distances in Å follow each position.
Space group I4/mmm (No. 139)
Asymmetric unit:
1 Rb 0.0000 0.0000 0.0000 x2  2 Ba 4.15, 8 Pt 4.32
2 Ba 0.0000 0.0000 0.3259 x4  4 Pt 3.08
3 Pt 0.0000 0.5000 0.2500 x4  4 Ba 3.08

## Properties
DOS at the Fermi energy (states/eV per cell): 6.68

---

Stability, lowest: *c*

---

*a*
Below is Ba2RePt after structural relaxation, with properties calculated at the PBE-GGA level.

abc: 4.3341 4.3341 25.3839
angles: 90.00 90.00 120.00
Closest atoms and distances in Å follow each position.
Space group R-3m (No. 166, hexagonal axes)
Asymmetric unit:
1 Ba 0.0000 0.0000 0.2433 x6  3 Pt 3.17, 3 Re 3.39
2 Re 0.0000 0.0000 0.0000 x3  6 Ba 3.39
3 Pt 0.0000 0.0000 0.5000 x3  6 Ba 3.17

## Properties
DOS at the Fermi energy (states/eV per cell): 6.35

---

*b*
Below is Ba2RePt after structural relaxation, with properties calculated at the PBE-GGA level.

abc: 4.4049 5.1091 11.8954
angles: 90.00 90.00 90.00
Closest atoms and distances in Å follow each position.
Space group Imm2 (No. 44)
Asymmetric unit:
1 Ba 0.0000 0.0000 0.0000 x2  2 Re 3.30, 4 Pt 3.54, 2 Ba 3.69
2 Ba 0.0000 0.5000 0.2236 x2  2 Pt 3.38, 4 Re 3.58, 2 Ba 3.69
3 Re 0.0000 0.5000 0.8249 x2  2 Pt 2.42
4 Pt 0.0000 0.0000 0.4092 x2  2 Re 2.42

## Properties
DOS at the Fermi energy (states/eV per cell): 8.81

---

*c*
Below is Ba2RePt after structural relaxation, with properties calculated at the PBE-GGA level.

abc: 3.7618 3.7618 8.2600
angles: 90.00 90.00 90.00
Closest atoms and distances in Å follow each position.
Space group P4/mmm (No. 123)
Asymmetric unit:
1 Ba 0.0000 0.0000 0.2324 x2  4 Pt 3.28, 4 Re 3.46
2 Re 0.5000 0.5000 0.5000 x1  8 Ba 3.46, 4 Re 3.76
3 Pt 0.5000 0.5000 0.0000 x1  8 Ba 3.28

## Properties
DOS at the Fermi energy (states/eV per cell): 4.35

---

*d*
Below is Ba2RePt after structural relaxation, with properties calculated at the PBE-GGA level.

abc: 7.8120 7.8120 7.8120
angles: 90.00 90.00 90.00
Closest atoms and distances in Å follow each position.
Space group Fm-3m (No. 225)
Asymmetric unit:
1 Ba 0.2500 0.2500 0.2500 x8  4 Re 3.38, 4 Pt 3.38
2 Re 0.0000 0.0000 0.0000 x4  8 Ba 3.38
3 Pt 0.0000 0.0000 0.5000 x4  8 Ba 3.38

## Properties
DOS at the Fermi energy (states/eV per cell): 17.31

---

Stability, lowest: *a*

---

*a*
Below is BaRePt2 after structural relaxation, with properties calculated at the PBE-GGA level.

abc: 3.0226 3.0226 8.7100
angles: 90.00 90.00 90.00
Closest atoms and distances in Å follow each position.
Space group P4/mmm (No. 123)
Asymmetric unit:
1 Ba 0.0000 0.0000 0.0000 x1  4 Ba 3.02
2 Re 0.0000 0.0000 0.5000 x1  8 Pt 2.72, 4 Re 3.02
3 Pt 0.5000 0.5000 0.3063 x2  4 Re 2.72, 4 Pt 3.02

## Properties
DOS at the Fermi energy (states/eV per cell): 3.09

---

*b*
Below is BaRePt2 after structural relaxation, with properties calculated at the PBE-GGA level.

abc: 4.4755 4.4755 17.3366
angles: 90.00 90.00 120.00
Closest atoms and distances in Å follow each position.
Space group R-3m (No. 166, hexagonal axes)
Asymmetric unit:
1 Ba 0.0000 0.0000 0.0000 x3  8 Pt 3.33-3.56
2 Re 0.0000 0.0000 0.5000 x3  6 Pt 2.62
3 Pt 0.0000 0.0000 0.1921 x6  3 Re 2.62, 3 Pt 2.73

## Properties
DOS at the Fermi energy (states/eV per cell): 5.05

---

Stability, lowest: *a*

---

*a*
Below is BaRe2Pt after structural relaxation, with properties calculated at the PBE-GGA level.

abc: 2.8860 5.0134 5.5133
angles: 90.00 90.00 90.00
Closest atoms and distances in Å follow each position.
Space group Pmmm (No. 47)
Asymmetric unit:
1 Ba 0.0000 0.0000 0.0000 x1  2 Ba 2.89, 4 Pt 2.89, 4 Re 3.11
2 Re 0.0000 0.5000 0.5000 x1  6 Re 2.89, 4 Pt 3.11
3 Re 0.5000 0.0000 0.5000 x1  6 Re 2.89, 4 Ba 3.11
4 Pt 0.5000 0.5000 0.0000 x1  2 Pt 2.89, 4 Ba 2.89, 4 Re 3.11

## Properties
DOS at the Fermi energy (states/eV per cell): 3.79

---

*b*
Below is BaRe2Pt after structural relaxation, with properties calculated at the PBE-GGA level.

abc: 6.6861 6.6861 6.6861
angles: 90.00 90.00 90.00
Closest atoms and distances in Å follow each position.
Space group Fm-3m (No. 225)
Asymmetric unit:
1 Ba 0.0000 0.0000 0.0000 x4  8 Re 2.90
2 Re 0.2500 0.2500 0.2500 x8  4 Ba 2.90, 4 Pt 2.90
3 Pt 0.0000 0.0000 0.5000 x4  8 Re 2.90

## Properties
DOS at the Fermi energy (states/eV per cell): 31.84

---

*c*
Below is BaRe2Pt after structural relaxation, with properties calculated at the PBE-GGA level.

abc: 3.1453 3.1872 8.2308
angles: 90.00 90.12 90.00
Closest atoms and distances in Å follow each position.
Space group Pm (No. 6)
Asymmetric unit:
1 Ba 0.0000 0.0000 0.0000 x1  4 Ba 3.15-3.19, 4 Pt 3.36-3.37, 4 Re 3.51-3.52
2 Re 0.0010 0.0000 0.4836 x1  4 Re 2.57, 4 Pt 2.83-2.84
3 Re 0.5004 0.5000 0.3293 x1  4 Re 2.57
4 Pt 0.5008 0.5000 0.6946 x1  5 Re 2.83-3.01, 2 Pt 3.15

## Properties
DOS at the Fermi energy (states/eV per cell): 4.23

---

*d*
Below is BaRe2Pt after structural relaxation, with properties calculated at the PBE-GGA level.

abc: 2.8584 2.8584 9.5551
angles: 90.00 90.00 90.00
Closest atoms and distances in Å follow each position.
Space group P4/mmm (No. 123)
Asymmetric unit:
1 Ba 0.0000 0.0000 0.0000 x1  4 Ba 2.86
2 Re 0.5000 0.5000 0.2995 x2  4 Pt 2.78, 4 Re 2.86
3 Pt 0.0000 0.0000 0.5000 x1  8 Re 2.78, 4 Pt 2.86

## Properties
DOS at the Fermi energy (states/eV per cell): 3.93

---

Stability, lowest: *b*

---

*a*
Below is BaPtRh2 after structural relaxation, with properties calculated at the PBE-GGA level.

abc: 3.0265 3.0265 29.2913
angles: 90.00 90.00 120.00
Closest atoms and distances in Å follow each position.
Space group R3m (No. 160, hexagonal axes)
Asymmetric unit:
1 Ba 0.0000 0.0000 0.0000 x3  6 Ba 3.03, 3 Pt 3.31, 3 Rh 3.33
2 Pt 0.0000 0.0000 0.7627 x3  3 Rh 2.76, 6 Pt 3.03
3 Rh 0.0000 0.0000 0.2367 x3  3 Rh 2.64
4 Rh 0.0000 0.0000 0.5024 x3  3 Rh 2.64, 3 Pt 2.76

## Properties
DOS at the Fermi energy (states/eV per cell): 16.60

---

*b*
Below is BaPtRh2 after structural relaxation, with properties calculated at the PBE-GGA level.

abc: 3.3386 3.3386 7.3189
angles: 90.00 90.00 90.00
Closest atoms and distances in Å follow each position.
Space group P4/mmm (No. 123)
Asymmetric unit:
1 Ba 0.0000 0.0000 0.0000 x1  8 Rh 3.31, 4 Ba 3.34, 2 Pt 3.66
2 Pt 0.0000 0.0000 0.5000 x1  8 Rh 2.71
3 Rh 0.5000 0.5000 0.3176 x2  1 Rh 2.67, 4 Pt 2.71

## Properties
DOS at the Fermi energy (states/eV per cell): 7.82

---

*c*
Below is BaPtRh2 after structural relaxation, with properties calculated at the PBE-GGA level.

abc: 6.7999 6.7999 6.7999
angles: 90.00 90.00 90.00
Closest atoms and distances in Å follow each position.
Space group Fm-3m (No. 225)
Asymmetric unit:
1 Ba 0.0000 0.0000 0.0000 x4  8 Rh 2.94
2 Pt 0.0000 0.0000 0.5000 x4  8 Rh 2.94
3 Rh 0.2500 0.2500 0.2500 x8  4 Ba 2.94, 4 Pt 2.94

## Properties
DOS at the Fermi energy (states/eV per cell): 20.08

---

Stability, lowest: *a*

---

*a*
Below is BaPtRh2 after structural relaxation, with properties calculated at the PBE-GGA level.

abc: 3.0096 5.0667 10.3893
angles: 90.00 90.00 90.00
Closest atoms and distances in Å follow each position.
Space group Imm2 (No. 44)
Asymmetric unit:
1 Ba 0.0000 0.0000 0.0000 x2  6 Rh 2.95-3.25, 2 Ba 3.01, 2 Pt 3.28
2 Pt 0.0000 0.5000 0.7806 x2  6 Rh 2.79-3.01, 2 Pt 3.01
3 Rh 0.0000 0.0000 0.5069 x2  4 Rh 2.70-3.01, 2 Pt 2.79, 4 Ba 2.95
4 Rh 0.0000 0.5000 0.2229 x2  4 Rh 2.70-3.01, 4 Pt 3.01

## Properties
DOS at the Fermi energy (states/eV per cell): 13.43

---

*b*
Below is BaPtRh2 after structural relaxation, with properties calculated at the PBE-GGA level.

abc: 2.9708 4.2687 6.6971
angles: 90.00 99.27 90.00
Closest atoms and distances in Å follow each position.
Space group Pm (No. 6)
Asymmetric unit:
1 Ba 0.0000 0.0000 0.0000 x1  2 Ba 2.97, 1 Rh 3.12, 4 Pt 3.23-3.26
2 Pt 0.6152 0.5000 0.2932 x1  4 Rh 2.66-2.77, 2 Pt 2.97
3 Rh 0.2381 0.5000 0.6456 x1  6 Rh 2.68-2.97, 2 Pt 2.75-2.77
4 Rh 0.6817 0.0000 0.5331 x1  2 Pt 2.66, 6 Rh 2.68-2.97

## Properties
DOS at the Fermi energy (states/eV per cell): 5.94

---

Stability, lowest: *a*